Compound: CeSmSiIr
Source: Alexandria
Functional: PBE
Structure: relaxed

Unit cell a=4.0492 b=5.8629 c=5.8629 alpha=41.24 beta=90.00 gamma=90.00
Closest atoms and distances in Å follow each position.
Sites, in units of the cell vectors:
Ce 0.0000 0.0000 0.0000  4 Ir 2.96, 3 Si 3.05-3.24
Sm 0.5000 0.7197 0.7197  4 Si 3.01, 3 Ir 3.04-3.20
Si 0.0000 0.2955 0.2955  2 Ir 2.59
Ir 0.5000 0.4430 0.4430  2 Si 2.59

- raw formation energy (meV/atom) = -808